# 1
DFT (PBE) results for a geometry-optimized Tl2MoBr structure.

Space group: No. 166
Crystal system: trigonal
ΔE to the lowest computed polymorph (eV/atom): 0.275
E_form (uncorrected) (eV/atom): 0.5450

Cell lengths 9.394, 9.394, 9.394 Å; angles 21.41, 21.41, 21.41 degrees
Site moments in Bohr magnetons follow the coordinates.
Atoms (fractional coordinates):
Mo 0.750 0.750 0.750  1.40
Br 0.250 0.250 0.250  0.01
Tl 0.006 0.006 0.006  0.04
Tl 0.494 0.494 0.494  0.04

# 2
DFT (PBE) results for a geometry-optimized NaCuTe2Au structure.

Space group: No. 67
Crystal system: orthorhombic
E_form (uncorrected) (eV/atom): -0.2658

Cell lengths 7.864, 5.489, 7.123 Å; angles 112.66, 90.00, 90.00 degrees
Atoms (fractional coordinates):
Te 0.284 0.112 0.224
Te 0.716 0.888 0.776
Cu 0.500 0.250 0.000
Au 0.000 0.000 0.000
Te 0.716 0.612 0.224
Au 0.000 0.500 0.000
Cu 0.500 0.750 0.000
Na 0.293 0.750 0.500
Te 0.284 0.388 0.776
Na 0.707 0.250 0.500

# 3
DFT (PBE) results for a geometry-optimized Dy2Ho3Pu structure.

Space group: No. 72
Crystal system: orthorhombic
ΔE_f (kcal/mol of atoms): 13.8

Cell lengths 11.339, 8.803, 8.803 Å; angles 41.44, 49.91, 49.91 degrees
Site moments in Bohr magnetons follow the coordinates.
Atoms (fractional coordinates):
Ho 0.766 0.484 0.984  0.06
Dy 0.645 0.101 0.101  0.05
Dy 0.355 0.899 0.899  0.05
Dy 0.848 0.399 0.399  0.05
Dy 0.152 0.601 0.601  0.05
Ho 0.766 0.984 0.484  0.06
Pu 0.000 0.500 0.500  5.57
Ho 0.500 0.750 0.250  -0.13
Ho 0.234 0.016 0.516  0.06
Ho 0.234 0.516 0.016  0.06
Pu 0.000 0.000 0.000  5.57
Ho 0.500 0.250 0.750  -0.13

# 4
DFT (PBE) results for a geometry-optimized LiMo2PH structure.

Space group: No. 123
Final energy (eV for the cell shown): -28.4
Crystal system: tetragonal

Cell lengths 4.821, 2.937, 4.821 Å; angles 90.00, 90.00, 90.00 degrees
Atoms (fractional coordinates):
Mo 0.500 0.000 0.000
P 0.000 0.000 0.000
Mo 0.000 0.000 0.500
H 0.000 0.500 0.000
Li 0.500 0.500 0.500

# 5
DFT (PBE) results for a geometry-optimized ErMg4Zr structure.

Space group: No. 216
Crystal system: cubic
ΔE to the lowest computed polymorph (eV/atom): 0.033
ΔE_f (kcal/mol of atoms): 1.4

Cell lengths 5.869, 5.869, 5.869 Å; angles 60.00, 60.00, 60.00 degrees
Site moments in Bohr magnetons follow the coordinates.
Atoms (fractional coordinates):
Zr 0.000 0.000 0.000  0.84
Mg 0.123 0.626 0.626  0.01
Mg 0.626 0.123 0.626  0.01
Mg 0.626 0.626 0.626  0.01
Er 0.250 0.250 0.250  0.45
Mg 0.626 0.626 0.123  0.01

# 6
DFT (PBE) results for a geometry-optimized La3GaHg2 structure.

Space group: No. 65
Crystal system: orthorhombic
ΔE_f (kcal/mol of atoms): -12.1

Cell lengths 5.450, 8.635, 7.769 Å; angles 90.00, 90.00, 71.60 degrees
Atoms (fractional coordinates):
Ga 0.338 0.324 0.000
Hg 0.665 0.669 0.500
La 0.828 0.344 0.766
Hg 0.000 0.000 0.500
Hg 0.335 0.331 0.500
La 0.172 0.656 0.766
La 0.172 0.656 0.234
La 0.500 0.000 0.759
Hg 0.000 0.000 0.000
Ga 0.662 0.676 0.000
La 0.500 0.000 0.241
La 0.828 0.344 0.234

# 7
DFT (PBE) results for a geometry-optimized AcZn3CuNi structure.

Space group: No. 63
Crystal system: orthorhombic
ΔE_f (kcal/mol of atoms): -2.4

Cell lengths 5.510, 6.538, 7.081 Å; angles 117.50, 90.00, 90.00 degrees
Atoms (fractional coordinates):
Ni 0.250 0.355 0.711
Zn 0.500 0.697 0.000
Cu 0.250 0.958 0.916
Zn 0.500 0.303 0.000
Zn 0.000 0.303 0.000
Zn 0.000 0.697 0.000
Cu 0.750 0.042 0.084
Ac 0.750 0.277 0.555
Ac 0.250 0.723 0.445
Ni 0.750 0.645 0.289
Zn 0.250 0.152 0.303
Zn 0.750 0.848 0.697

# 8
DFT (PBE) results for a geometry-optimized Al3AsSe structure.

Space group: No. 221
Crystal system: cubic
ΔE to the lowest computed polymorph (eV/atom): 0.000
E_form (uncorrected) (eV/atom): 0.4395

Cell lengths 4.973, 4.973, 4.973 Å; angles 90.00, 90.00, 90.00 degrees
Atoms (fractional coordinates):
Al 0.500 0.000 0.000
Se 0.500 0.500 0.500
Al 0.000 0.000 0.500
Al 0.000 0.500 0.000
As 0.000 0.000 0.000

# 9
DFT (PBE) results for a geometry-optimized PaHg12Br7 structure.

Space group: No. 148
Crystal system: trigonal
E_form (uncorrected) (eV/atom): -0.4547

Cell lengths 8.809, 9.970, 9.970 Å; angles 111.71, 107.13, 107.13 degrees
Atoms (fractional coordinates):
Hg 0.501 0.671 0.329
Br 0.675 0.754 0.755
Br 0.079 0.000 0.754
Hg 0.547 0.000 0.339
Hg 0.172 0.671 0.342
Hg 0.499 0.329 0.671
Br 0.921 0.000 0.246
Hg 0.547 0.339 0.000
Hg 0.208 0.661 0.661
Pa 0.000 0.000 0.000
Hg 0.453 0.000 0.661
Br 0.325 0.246 0.245
Hg 0.828 0.329 0.658
Hg 0.453 0.661 0.000
Br 0.080 0.755 0.000
Hg 0.792 0.339 0.339
Br 0.500 0.000 0.000
Hg 0.830 0.658 0.329
Br 0.920 0.245 0.000
Hg 0.170 0.342 0.671

# 10
DFT (PBE) results for a geometry-optimized TbNdGaIr structure.

Space group: No. 38
Crystal system: orthorhombic
ΔE to the lowest computed polymorph (eV/atom): 0.000
ΔE_f (kcal/mol of atoms): -15.7

Cell lengths 4.152, 4.243, 5.812 Å; angles 90.00, 110.93, 90.00 degrees
Atoms (fractional coordinates):
Nd 0.146 0.000 0.291
Ga 0.566 0.500 0.132
Ir 0.425 0.000 0.850
Tb 0.863 0.500 0.727

# 11
DFT (PBE) results for a geometry-optimized MnAg4Au5 structure.

Space group: No. 123
Crystal system: tetragonal
ΔE_f (kcal/mol of atoms): -0.5

Cell lengths 3.383, 3.385, 15.489 Å; angles 90.00, 90.00, 90.00 degrees
Site moments in Bohr magnetons follow the coordinates.
Atoms (fractional coordinates):
Au 0.500 0.500 0.093  0.04
Ag 0.000 0.000 0.196  0.00
Ag 0.000 0.000 0.804  0.00
Au 0.500 0.500 0.703  -0.01
Ag 0.000 0.000 0.399  -0.01
Au 0.500 0.500 0.500  -0.01
Mn 0.000 0.000 0.000  3.95
Au 0.500 0.500 0.297  -0.01
Ag 0.000 0.000 0.601  -0.01
Au 0.500 0.500 0.907  0.04

# 12
DFT (PBE) results for a geometry-optimized K3TeH structure.

Space group: No. 62
Crystal system: orthorhombic
ΔE to the lowest computed polymorph (eV/atom): 0.109

Cell lengths 8.051, 11.984, 8.308 Å; angles 90.00, 90.00, 90.00 degrees
Atoms (fractional coordinates):
Te 0.000 0.000 0.500
Te 0.000 0.500 0.500
H 0.997 0.750 0.037
K 0.369 0.410 0.362
H 0.003 0.250 0.963
K 0.823 0.250 0.670
K 0.677 0.750 0.170
Te 0.500 0.500 0.000
K 0.177 0.750 0.330
K 0.631 0.910 0.638
K 0.369 0.090 0.362
H 0.497 0.750 0.463
K 0.323 0.250 0.830
K 0.631 0.590 0.638
K 0.131 0.910 0.862
Te 0.500 0.000 0.000
K 0.869 0.090 0.138
K 0.869 0.410 0.138
K 0.131 0.590 0.862
H 0.503 0.250 0.537

Number 1: calculated density 10.0 g cm⁻³, magnetic moment 1.68 μB/f.u.. Number 2: calculated density 6.3 g cm⁻³, magnetic moment 0.00 μB/f.u.. Number 3: calculated density 8.4 g cm⁻³, magnetic moment 5.88 μB/f.u.. Number 4: calculated density 5.6 g cm⁻³, magnetic moment 0.00 μB/f.u.. Number 5: calculated density 4.1 g cm⁻³, magnetic moment 2.40 μB/f.u.. Number 6: calculated density 8.5 g cm⁻³, magnetic moment 0.00 μB/f.u.. Number 7: calculated density 8.0 g cm⁻³, magnetic moment 0.00 μB/f.u.. Number 8: calculated density 3.2 g cm⁻³, magnetic moment 0.00 μB/f.u.. Number 9: calculated density 7.7 g cm⁻³, magnetic moment 0.00 μB/f.u.. Number 10: calculated density 9.8 g cm⁻³, magnetic moment 0.00 μB/f.u.. Number 11: calculated density 13.8 g cm⁻³, magnetic moment 4.14 μB/f.u.. Number 12: calculated density 2.0 g cm⁻³, magnetic moment 0.00 μB/f.u..